A geometry-optimized Pm6TlRh3 structure, computed with GGA-PBE.

abc: 7.2796 8.6958 8.6958
angles: 98.30 90.00 90.00
Closest atoms and distances in Å follow each position.
Sites, in units of the cell vectors:
1 Pm 0.6101 0.2125 0.7875  3 Rh 2.79-2.84
2 Rh 0.9592 0.0852 0.2533  6 Pm 2.79-3.06
3 Pm 0.6447 0.9348 0.0652  4 Rh 3.00-3.06
4 Pm 0.1447 0.0652 0.9348  4 Rh 3.00-3.06
5 Pm 0.7915 0.9407 0.5016  3 Rh 2.92-3.25
6 Pm 0.1752 0.3718 0.3102  4 Rh 2.93-3.02
7 Pm 0.6752 0.6282 0.6898  4 Rh 2.93-3.02
8 Rh 0.3820 0.3873 0.6127  7 Pm 2.84-3.02, 1 Tl 2.93
9 Pm 0.2915 0.0593 0.4984  3 Rh 2.92-3.25
10 Rh 0.9592 0.7467 0.9148  6 Pm 2.79-3.06
11 Pm 0.6752 0.3102 0.3718  4 Rh 2.93-3.02
12 Tl 0.9965 0.3232 0.6768  1 Rh 2.93, 1 Pm 3.17
13 Rh 0.4592 0.2533 0.0852  6 Pm 2.79-3.06
14 Rh 0.8820 0.6127 0.3873  7 Pm 2.84-3.02, 1 Tl 2.93
15 Pm 0.1101 0.7875 0.2125  3 Rh 2.79-2.84
16 Pm 0.7915 0.4984 0.0593  3 Rh 2.92-3.25
17 Tl 0.4965 0.6768 0.3232  1 Rh 2.93, 1 Pm 3.17
18 Rh 0.4592 0.9148 0.7467  6 Pm 2.79-3.06
19 Pm 0.2915 0.5016 0.9407  3 Rh 2.92-3.25
20 Pm 0.1752 0.6898 0.6282  4 Rh 2.93-3.02

Values from the calculation:
**E_form**: -4.99 eV per formula unit
**Space group**: Cmc2_1, No. 36
**Spin magnetization**: 0.00 Bohr magnetons per cell